# 1
# BeCuAsPd

An optimized crystal structure of BeCuAsPd (PBE, the Open Quantum Materials Database).

Values from the calculation:
- calculated total energy (eV/atom) = -4.28

Geometry as extended XYZ:
```
4
Lattice="0.000 3.007 3.007 3.007 0.000 3.007 3.007 3.007 0.000" Properties=species:S:1:pos:R:3 pbc="T T T"
As 0.000 0.000 0.000
Be 1.503 1.503 1.503
Cu 4.510 4.510 4.510
Pd 3.007 3.007 3.007
```

# 2
# Tb2HoGa3Ge2Pd

An optimized crystal structure of Tb2HoGa3Ge2Pd (PBE, the Open Quantum Materials Database).

Values from the calculation:
- calculated total energy (eV/atom) = -4.93

Geometry as extended XYZ:
```
9
Lattice="-2.353 -3.521 0.248 5.412 -3.414 2.885 -4.594 3.359 4.108" Properties=species:S:1:pos:R:3 pbc="T T T"
Ga 0.105 -2.568 0.808
Ga -2.264 -0.965 1.098
Ga -0.552 -1.802 5.461
Ge 0.888 -2.908 3.414
Ge -2.424 -0.667 3.819
Ho 0.336 -0.022 2.870
Pd 0.002 0.000 0.018
Tb 2.706 -1.436 5.299
Tb -1.408 1.349 5.802
```

# 3
# HoAgPO

An optimized crystal structure of HoAgPO (PBE, the Open Quantum Materials Database).

Values from the calculation:
- calculated total energy (eV/atom) = -6.02

Geometry as extended XYZ:
```
8
Lattice="3.948 0.000 0.000 0.000 3.948 0.000 0.000 0.000 8.678" Properties=species:S:1:pos:R:3 pbc="T T T"
Ag 2.961 0.987 4.339
Ag 0.987 2.961 4.339
Ho 0.987 0.987 1.069
Ho 2.961 2.961 7.608
O 2.961 0.987 0.000
O 0.987 2.961 0.000
P 2.961 2.961 2.675
P 0.987 0.987 6.002
```

# 4
# KZrB4

An optimized crystal structure of KZrB4 (PBE, the Open Quantum Materials Database).

Values from the calculation:
- calculated total energy (eV/atom) = -5.88

Geometry as extended XYZ:
```
6
Lattice="4.376 -2.111 1.726 -1.826 -4.271 2.238 0.733 2.439 -4.483" Properties=species:S:1:pos:R:3 pbc="T T T"
B 2.280 -1.571 0.171
B -0.884 -2.493 0.328
B 4.166 -1.450 -0.847
B 1.002 -2.372 -0.689
K 1.275 -3.191 1.982
Zr 0.000 0.000 0.000
```

# 5
# Y3Nb3As

An optimized crystal structure of Y3Nb3As (PBE, the Open Quantum Materials Database).

Values from the calculation:
- calculated total energy (eV/atom) = -7.94

Geometry as extended XYZ:
```
14
Lattice="-5.849 -3.788 -4.349 -1.064 -2.565 3.665 -3.384 7.419 4.210" Properties=species:S:1:pos:R:3 pbc="T T T"
As -5.330 -2.786 -2.055
As -4.966 3.852 5.580
Nb -3.840 -0.912 2.573
Nb -5.120 -0.400 -0.324
Nb -3.877 1.620 1.450
Nb -6.419 -0.553 2.076
Nb -5.176 1.466 3.849
Nb -6.456 1.978 0.952
Y -1.497 -0.570 0.608
Y -4.513 -3.173 0.796
Y -7.722 -3.103 -0.087
Y -2.575 4.169 3.612
Y -5.784 4.239 2.730
Y -8.799 1.637 2.917
```

# 6
# NaGdOs

An optimized crystal structure of NaGdOs (PBE, the Open Quantum Materials Database).

Values from the calculation:
- calculated total energy (eV/atom) = -4.97

Geometry as extended XYZ:
```
3
Lattice="-0.198 -4.490 1.375 -3.026 -2.955 -2.051 1.588 -3.398 -2.833" Properties=species:S:1:pos:R:3 pbc="T T T"
Gd -0.409 -2.711 -0.877
Na -1.227 -8.132 -2.632
Os 0.000 0.000 0.000
```

# 7
# NdZnRe

An optimized crystal structure of NdZnRe (PBE, the Open Quantum Materials Database).

Values from the calculation:
- energy of formation (meV/atom) = 733

Geometry as extended XYZ:
```
3
Lattice="0.000 3.212 3.212 3.212 0.000 3.212 3.212 3.212 0.000" Properties=species:S:1:pos:R:3 pbc="T T T"
Nd 1.606 1.606 1.606
Re 4.818 4.818 4.818
Zn 0.000 0.000 0.000
```

# 8
# NbBiN2O

An optimized crystal structure of NbBiN2O (PBE, the Open Quantum Materials Database).

Values from the calculation:
- calculated total energy (eV/atom) = -7.75

Geometry as extended XYZ:
```
10
Lattice="5.808 0.000 0.000 0.000 3.912 0.000 0.000 0.000 6.167" Properties=species:S:1:pos:R:3 pbc="T T T"
Bi 1.452 0.000 2.113
Bi 4.356 0.000 4.054
N 0.000 1.956 0.000
N 2.904 1.956 0.000
N 4.356 0.000 1.865
N 1.452 0.000 4.302
Nb 4.356 1.956 1.254
Nb 1.452 1.956 4.913
O 0.000 1.956 3.083
O 2.904 1.956 3.083
```

# 9
# ZrCuSnIr

An optimized crystal structure of ZrCuSnIr (PBE, the Open Quantum Materials Database).

Values from the calculation:
- calculated total energy (eV/atom) = -6.49

Geometry as extended XYZ:
```
4
Lattice="0.000 3.270 3.270 3.270 0.000 3.270 3.270 3.270 0.000" Properties=species:S:1:pos:R:3 pbc="T T T"
Cu 4.905 4.905 4.905
Ir 0.000 0.000 0.000
Sn 3.270 3.270 3.270
Zr 1.635 1.635 1.635
```

# 10
# TmZr2As3

An optimized crystal structure of TmZr2As3 (PBE, the Open Quantum Materials Database).

Values from the calculation:
- calculated total energy (eV/atom) = -7.16

Geometry as extended XYZ:
```
6
Lattice="3.935 0.000 0.000 -1.968 3.408 0.000 0.000 0.000 9.587" Properties=species:S:1:pos:R:3 pbc="T T T"
As 0.000 0.000 0.000
As 0.000 2.272 3.107
As 1.968 1.136 6.480
Tm 0.000 0.000 4.793
Zr 1.968 1.136 1.485
Zr 0.000 2.272 8.101
```

# 11
# PrZnInTe3

An optimized crystal structure of PrZnInTe3 (PBE, the Open Quantum Materials Database).

Values from the calculation:
- calculated total energy (eV/atom) = -3.80

Geometry as extended XYZ:
```
24
Lattice="15.611 0.000 0.000 0.000 4.443 0.000 0.000 0.000 11.991" Properties=species:S:1:pos:R:3 pbc="T T T"
In 11.839 3.333 0.349
In 4.034 3.333 5.647
In 11.576 1.111 6.344
In 3.771 1.111 11.642
Pr 7.391 3.333 1.935
Pr 15.196 3.333 4.061
Pr 0.414 1.111 7.931
Pr 8.219 1.111 10.056
Te 9.485 1.111 0.957
Te 1.357 3.333 1.311
Te 13.238 1.111 2.887
Te 5.433 1.111 3.109
Te 9.163 3.333 4.684
Te 1.680 1.111 5.038
Te 13.931 3.333 6.953
Te 6.448 1.111 7.307
Te 10.178 3.333 8.882
Te 2.373 3.333 9.104
Te 14.253 1.111 10.680
Te 6.126 3.333 11.034
Zn 15.340 1.111 1.206
Zn 7.535 1.111 4.789
Zn 8.076 3.333 7.202
Zn 0.270 3.333 10.785
```

# 12
# KNiPdSe3

An optimized crystal structure of KNiPdSe3 (PBE, the Open Quantum Materials Database).

Values from the calculation:
- calculated total energy (eV/atom) = -4.14

Geometry as extended XYZ:
```
12
Lattice="7.944 0.000 0.000 0.000 3.780 0.000 -2.853 0.000 9.301" Properties=species:S:1:pos:R:3 pbc="T T T"
K 5.522 0.945 2.039
K -0.432 2.835 7.262
Ni 1.685 0.945 3.327
Ni 3.405 2.835 5.974
Pd 0.471 2.835 0.837
Pd 4.619 0.945 8.464
Se 2.021 0.945 0.939
Se 0.095 2.835 3.425
Se 3.216 2.835 3.555
Se 1.874 0.945 5.747
Se 4.995 0.945 5.876
Se 3.069 2.835 8.362
```

# 13
# GdDyBi2S2

An optimized crystal structure of GdDyBi2S2 (PBE, the Open Quantum Materials Database).

Values from the calculation:
- calculated total energy (eV/atom) = -5.50

Geometry as extended XYZ:
```
6
Lattice="4.219 0.000 0.000 0.000 4.219 0.000 0.000 0.000 8.737" Properties=species:S:1:pos:R:3 pbc="T T T"
Bi 2.110 0.000 0.008
Bi 0.000 2.110 0.008
Dy 0.000 0.000 2.767
Gd 2.110 2.110 5.977
S 2.110 2.110 3.251
S 0.000 0.000 5.462
```

# 14
# TbPaPd

An optimized crystal structure of TbPaPd (PBE, the Open Quantum Materials Database).

Values from the calculation:
- energy of formation (meV/atom) = 29

Geometry as extended XYZ:
```
3
Lattice="0.000 3.424 3.424 3.424 0.000 3.424 3.424 3.424 0.000" Properties=species:S:1:pos:R:3 pbc="T T T"
Pa 1.712 1.712 1.712
Pd 0.000 0.000 0.000
Tb 5.136 5.136 5.136
```

# 15
# Tb2Ta6Os

An optimized crystal structure of Tb2Ta6Os (PBE, the Open Quantum Materials Database).

Values from the calculation:
- energy of formation (meV/atom) = 397

Geometry as extended XYZ:
```
9
Lattice="-8.277 -1.046 -0.271 4.711 -2.291 -6.499 0.303 -2.706 1.174" Properties=species:S:1:pos:R:3 pbc="T T T"
Os 0.152 -1.353 0.587
Ta -2.358 -0.298 -0.077
Ta 1.342 -0.653 -1.852
Ta -2.550 -2.386 -4.841
Ta -5.379 -2.052 0.406
Ta -1.031 -2.460 -1.659
Ta 3.300 -2.884 -3.756
Tb -3.948 -1.461 -2.347
Tb 0.381 -1.876 -4.423
```

# 16
# Sc2Zn5In

An optimized crystal structure of Sc2Zn5In (PBE, the Open Quantum Materials Database).

Values from the calculation:
- calculated total energy (eV/atom) = -3.00

Geometry as extended XYZ:
```
8
Lattice="4.477 0.000 0.000 0.000 3.010 5.208 0.000 -3.010 5.208" Properties=species:S:1:pos:R:3 pbc="T T T"
In 0.000 0.000 8.734
Sc 0.000 0.000 3.479
Sc 2.238 0.000 6.870
Zn 2.238 0.000 1.637
Zn 2.238 1.472 4.399
Zn 0.000 1.584 6.073
Zn 2.238 -1.472 4.399
Zn 0.000 -1.584 6.073
```

# 17
# Er3Ga8Ag3

An optimized crystal structure of Er3Ga8Ag3 (PBE, the Open Quantum Materials Database).

Values from the calculation:
- calculated total energy (eV/atom) = -3.75

Geometry as extended XYZ:
```
14
Lattice="-2.158 4.768 6.437 2.158 -4.768 6.437 2.158 4.768 -6.437" Properties=species:S:1:pos:R:3 pbc="T T T"
Ag 0.000 1.848 0.000
Ag 2.158 0.000 0.000
Ag 0.000 7.687 0.000
Er 0.000 0.000 2.590
Er 0.000 0.000 6.437
Er 0.000 0.000 10.285
Ga 0.000 2.691 4.594
Ga 0.000 2.691 8.281
Ga 0.000 3.520 2.035
Ga 2.158 -1.247 4.403
Ga 0.000 6.015 2.035
Ga 2.158 1.247 4.403
Ga 2.158 2.077 -1.844
Ga 2.158 2.077 1.844
```

# 18
# YAgF3

An optimized crystal structure of YAgF3 (PBE, the Open Quantum Materials Database).

Values from the calculation:
- calculated total energy (eV/atom) = -4.50

Geometry as extended XYZ:
```
5
Lattice="4.323 0.000 0.000 0.000 4.323 0.000 0.000 0.000 4.323" Properties=species:S:1:pos:R:3 pbc="T T T"
Ag 0.000 0.000 0.000
F 2.161 0.000 0.000
F 0.000 2.161 0.000
F 0.000 0.000 2.161
Y 2.161 2.161 2.161
```

# 19
# Li4CuSn2Pd

An optimized crystal structure of Li4CuSn2Pd (PBE, the Open Quantum Materials Database).

Values from the calculation:
- calculated total energy (eV/atom) = -3.52

Geometry as extended XYZ:
```
8
Lattice="4.460 0.000 0.000 0.000 4.460 0.000 0.000 0.000 6.301" Properties=species:S:1:pos:R:3 pbc="T T T"
Cu 0.000 0.000 0.000
Li 2.230 2.230 0.000
Li 2.230 0.000 1.571
Li 0.000 0.000 3.151
Li 0.000 2.230 4.731
Pd 2.230 2.230 3.151
Sn 0.000 2.230 1.556
Sn 2.230 0.000 4.745
```

# 20
# CsScAgTe3

An optimized crystal structure of CsScAgTe3 (PBE, the Open Quantum Materials Database).

Values from the calculation:
- calculated total energy (eV/atom) = -4.08

Geometry as extended XYZ:
```
12
Lattice="-0.906 4.429 -7.842 -2.794 -5.688 6.463 -4.879 8.478 5.352" Properties=species:S:1:pos:R:3 pbc="T T T"
Ag -2.994 1.893 0.080
Ag -5.584 5.327 3.894
Cs -3.552 -1.096 4.305
Cs -5.026 8.316 -0.332
Sc 0.000 0.000 0.000
Sc -2.439 4.239 2.676
Te -1.802 0.851 -2.168
Te -2.253 5.866 -5.538
Te -3.896 4.490 0.129
Te -4.682 2.730 3.845
Te -6.326 1.354 9.512
Te -6.776 6.369 6.142
```

# 21
# CsKPtSe2

An optimized crystal structure of CsKPtSe2 (PBE, the Open Quantum Materials Database).

Values from the calculation:
- calculated total energy (eV/atom) = -3.89

Geometry as extended XYZ:
```
5
Lattice="-1.930 3.874 5.203 1.930 -3.874 5.203 1.930 3.874 -5.203" Properties=species:S:1:pos:R:3 pbc="T T T"
Cs 0.000 0.000 2.026
K 0.000 0.000 8.300
Pt 0.000 3.874 0.027
Se 0.000 1.622 5.228
Se 1.930 2.252 0.026
```

# 22
# NiAgAu

An optimized crystal structure of NiAgAu (PBE, the Open Quantum Materials Database).

Values from the calculation:
- energy of formation (meV/atom) = 305

Geometry as extended XYZ:
```
6
Lattice="-1.527 -5.813 7.827 -5.324 -3.178 7.678 2.395 2.935 -9.113" Properties=species:S:1:pos:R:3 pbc="T T T"
Ag -1.411 -1.852 3.193
Ag -5.440 -7.140 12.312
Au -2.630 -3.452 5.953
Au -4.220 -5.540 9.553
Ni -0.400 -0.525 0.905
Ni -6.451 -8.467 14.600
```

# 23
# KErB

An optimized crystal structure of KErB (PBE, the Open Quantum Materials Database).

Values from the calculation:
- calculated total energy (eV/atom) = -3.11

Geometry as extended XYZ:
```
3
Lattice="0.000 3.329 3.329 3.329 0.000 3.329 3.329 3.329 0.000" Properties=species:S:1:pos:R:3 pbc="T T T"
B 0.000 0.000 0.000
Er 1.664 1.664 1.664
K 4.993 4.993 4.993
```

# 24
# MgCoMoAs

An optimized crystal structure of MgCoMoAs (PBE, the Open Quantum Materials Database).

Values from the calculation:
- calculated total energy (eV/atom) = -5.78

Geometry as extended XYZ:
```
4
Lattice="0.000 3.043 3.043 3.043 0.000 3.043 3.043 3.043 0.000" Properties=species:S:1:pos:R:3 pbc="T T T"
As 0.000 0.000 0.000
Co 4.565 4.565 4.565
Mg 3.043 3.043 3.043
Mo 1.522 1.522 1.522
```

# 25
# LiDyIr

An optimized crystal structure of LiDyIr (PBE, the Open Quantum Materials Database).

Values from the calculation:
- calculated total energy (eV/atom) = -4.98

Geometry as extended XYZ:
```
3
Lattice="-1.787 -2.389 3.429 -1.776 2.153 3.587 -4.497 -0.012 0.660" Properties=species:S:1:pos:R:3 pbc="T T T"
Dy 0.000 0.000 0.000
Ir -2.015 -0.062 1.919
Li -6.046 -0.186 5.757
```